Entry 1:
NaCuAu2 | PBE | optimized geometry

Cell and atoms, written as CIF:
```
data_NaCuAu2
_chemical_formula_sum 'Na1 Cu1 Au2'
_cell_length_a 4.165
_cell_length_b 4.165
_cell_length_c 3.934
_cell_angle_alpha 90.00
_cell_angle_beta 90.00
_cell_angle_gamma 90.00
_symmetry_space_group_name_H-M 'P 4/m m m'
_symmetry_Int_Tables_number 123
_symmetry_space_group_name_Hall '-P 4 2'
loop_
_atom_site_label
_atom_site_type_symbol
_atom_site_fract_x
_atom_site_fract_y
_atom_site_fract_z
_atom_site_occupancy
Na1 Na 0.000 0.000 0.000 1
Cu1 Cu 0.500 0.500 0.000 1
Au1 Au 0.000 0.500 0.500 1
```

Calculated formation energy   -0.29 eV per formula unit
Excess energy over the best structure of this formula in the dataset   0.066 eV/atom

Entry 2:
TcAg | PBE | optimized geometry

Cell and atoms, written as CIF:
```
data_TcAg
_chemical_formula_sum 'Tc6 Ag6'
_cell_length_a 2.7921
_cell_length_b 2.7921
_cell_length_c 28.7669
_cell_angle_alpha 90.00
_cell_angle_beta 90.00
_cell_angle_gamma 120.00
_symmetry_space_group_name_H-M 'R -3 m'
_symmetry_Int_Tables_number 166
_symmetry_space_group_name_Hall '-R 3 2"'
loop_
_atom_site_label
_atom_site_type_symbol
_atom_site_fract_x
_atom_site_fract_y
_atom_site_fract_z
_atom_site_occupancy
Tc1 Tc 0.0000 0.0000 0.1315 1
Ag1 Ag 0.0000 0.0000 0.3777 1
```

Calculated formation energy   0.35 eV per formula unit
Excess energy over the best structure of this formula in the dataset   0.003 eV/atom

Entry 3:
Zn3SbMo | PBE | optimized geometry

Cell and atoms, written as CIF:
```
data_Zn3SbMo
_chemical_formula_sum 'Zn3 Sb1 Mo1'
_cell_length_a 4.888
_cell_length_b 4.888
_cell_length_c 4.888
_cell_angle_alpha 90.00
_cell_angle_beta 90.00
_cell_angle_gamma 90.00
_symmetry_space_group_name_H-M 'P m -3 m'
_symmetry_Int_Tables_number 221
_symmetry_space_group_name_Hall '-P 4 2 3'
loop_
_atom_site_label
_atom_site_type_symbol
_atom_site_fract_x
_atom_site_fract_y
_atom_site_fract_z
_atom_site_occupancy
Zn1 Zn 0.000 0.000 0.500 1
Sb1 Sb 0.500 0.500 0.500 1
Mo1 Mo 0.000 0.000 0.000 1
```

Excess energy over the best structure of this formula in the dataset   0.000 eV/atom

Entry 4:
Ac4NdHo2 | PBE | optimized geometry

Cell and atoms, written as CIF:
```
data_Ac4NdHo2
_chemical_formula_sum 'Ac16 Nd4 Ho8'
_cell_length_a 6.741
_cell_length_b 12.895
_cell_length_c 13.204
_cell_angle_alpha 90.00
_cell_angle_beta 104.76
_cell_angle_gamma 90.00
_symmetry_space_group_name_H-M 'C 1 c 1'
_symmetry_Int_Tables_number 9
_symmetry_space_group_name_Hall 'C -2yc'
loop_
_atom_site_label
_atom_site_type_symbol
_atom_site_fract_x
_atom_site_fract_y
_atom_site_fract_z
_atom_site_occupancy
Ac1 Ac 0.000 0.062 0.000 1
Ac2 Ac 0.057 0.425 0.651 1
Ac3 Ac 0.198 0.325 0.931 1
Ac4 Ac 0.292 0.188 0.582 1
Nd1 Nd 0.129 0.124 0.291 1
Ho1 Ho 0.385 0.351 0.225 1
Ho2 Ho 0.451 0.102 0.856 1
```

Calculated formation energy   0.81 eV per formula unit

Entry 5:
NdDy3Y2 | PBE | optimized geometry

Cell and atoms, written as CIF:
```
data_NdDy3Y2
_chemical_formula_sum 'Nd4 Dy12 Y8'
_cell_length_a 17.521
_cell_length_b 7.148
_cell_length_c 6.189
_cell_angle_alpha 90.00
_cell_angle_beta 90.09
_cell_angle_gamma 90.00
_symmetry_space_group_name_H-M 'C 1 2/c 1'
_symmetry_Int_Tables_number 15
_symmetry_space_group_name_Hall '-C 2yc'
loop_
_atom_site_label
_atom_site_type_symbol
_atom_site_fract_x
_atom_site_fract_y
_atom_site_fract_z
_atom_site_occupancy
Nd1 Nd 0.000 0.125 0.250 1
Dy1 Dy 0.000 0.376 0.750 1
Dy2 Dy 0.168 0.125 0.916 1
Y1 Y 0.167 0.375 0.416 1
```

Calculated formation energy   0.11 eV per formula unit
Excess energy over the best structure of this formula in the dataset   0.022 eV/atom

Entry 6:
TaTiMnRe | PBE | optimized geometry

Cell and atoms, written as CIF:
```
data_TaTiMnRe
_chemical_formula_sum 'Ta4 Ti4 Mn4 Re4'
_cell_length_a 6.202
_cell_length_b 6.202
_cell_length_c 6.202
_cell_angle_alpha 90.00
_cell_angle_beta 90.00
_cell_angle_gamma 90.00
_symmetry_space_group_name_H-M 'F -4 3 m'
_symmetry_Int_Tables_number 216
_symmetry_space_group_name_Hall 'F -4 2 3'
loop_
_atom_site_label
_atom_site_type_symbol
_atom_site_fract_x
_atom_site_fract_y
_atom_site_fract_z
_atom_site_occupancy
Ta1 Ta 0.000 0.000 0.000 1
Ti1 Ti 0.000 0.000 0.500 1
Mn1 Mn 0.250 0.250 0.250 1
Re1 Re 0.250 0.250 0.750 1
```

Calculated formation energy   -1.36 eV per formula unit
Excess energy over the best structure of this formula in the dataset   0.000 eV/atom

Entry 7:
YThGa4 | PBE | optimized geometry

Cell and atoms, written as CIF:
```
data_YThGa4
_chemical_formula_sum 'Y2 Th2 Ga8'
_cell_length_a 4.223
_cell_length_b 4.223
_cell_length_c 14.730
_cell_angle_alpha 90.00
_cell_angle_beta 90.00
_cell_angle_gamma 90.00
_symmetry_space_group_name_H-M 'I -4 m 2'
_symmetry_Int_Tables_number 119
_symmetry_space_group_name_Hall 'I -4 -2'
loop_
_atom_site_label
_atom_site_type_symbol
_atom_site_fract_x
_atom_site_fract_y
_atom_site_fract_z
_atom_site_occupancy
Y1 Y 0.000 0.000 0.000 1
Th1 Th 0.000 0.500 0.250 1
Ga1 Ga 0.000 0.000 0.418 1
Ga2 Ga 0.000 0.500 0.666 1
```

Calculated formation energy   -3.88 eV per formula unit
Excess energy over the best structure of this formula in the dataset   0.000 eV/atom

Entry 8:
SrSn2Au6 | PBE | optimized geometry

Cell and atoms, written as CIF:
```
data_SrSn2Au6
_chemical_formula_sum 'Sr2 Sn4 Au12'
_cell_length_a 14.008
_cell_length_b 8.117
_cell_length_c 3.838
_cell_angle_alpha 90.00
_cell_angle_beta 105.14
_cell_angle_gamma 90.00
_symmetry_space_group_name_H-M 'C 1 2/m 1'
_symmetry_Int_Tables_number 12
_symmetry_space_group_name_Hall '-C 2y'
loop_
_atom_site_label
_atom_site_type_symbol
_atom_site_fract_x
_atom_site_fract_y
_atom_site_fract_z
_atom_site_occupancy
Sr1 Sr 0.000 0.000 0.000 1
Sn1 Sn 0.140 0.500 0.142 1
Au1 Au 0.000 0.326 0.500 1
Au2 Au 0.181 0.175 0.682 1
```

Calculated formation energy   -2.56 eV per formula unit
Excess energy over the best structure of this formula in the dataset   0.000 eV/atom

Entry 9:
Tm2TiZn | PBE | optimized geometry

Cell and atoms, written as CIF:
```
data_Tm2TiZn
_chemical_formula_sum 'Tm2 Ti1 Zn1'
_cell_length_a 5.137
_cell_length_b 5.137
_cell_length_c 3.462
_cell_angle_alpha 90.00
_cell_angle_beta 90.00
_cell_angle_gamma 90.00
_symmetry_space_group_name_H-M 'P 4/m m m'
_symmetry_Int_Tables_number 123
_symmetry_space_group_name_Hall '-P 4 2'
loop_
_atom_site_label
_atom_site_type_symbol
_atom_site_fract_x
_atom_site_fract_y
_atom_site_fract_z
_atom_site_occupancy
Tm1 Tm 0.000 0.500 0.000 1
Ti1 Ti 0.000 0.000 0.500 1
Zn1 Zn 0.500 0.500 0.500 1
```

Calculated formation energy   0.08 eV per formula unit
Excess energy over the best structure of this formula in the dataset   0.000 eV/atom

Entry 10:
NbAlF3 | PBE | optimized geometry

Cell and atoms, written as CIF:
```
data_NbAlF3
_chemical_formula_sum 'Nb1 Al1 F3'
_cell_length_a 4.369
_cell_length_b 4.369
_cell_length_c 4.369
_cell_angle_alpha 90.00
_cell_angle_beta 90.00
_cell_angle_gamma 90.00
_symmetry_space_group_name_H-M 'P m -3 m'
_symmetry_Int_Tables_number 221
_symmetry_space_group_name_Hall '-P 4 2 3'
loop_
_atom_site_label
_atom_site_type_symbol
_atom_site_fract_x
_atom_site_fract_y
_atom_site_fract_z
_atom_site_occupancy
Nb1 Nb 0.000 0.000 0.000 1
Al1 Al 0.500 0.500 0.500 1
F1 F 0.000 0.000 0.500 1
```

Excess energy over the best structure of this formula in the dataset   0.000 eV/atom

Entry 11:
TbThAl | PBE | optimized geometry

Cell and atoms, written as CIF:
```
data_TbThAl
_chemical_formula_sum 'Tb1 Th1 Al1'
_cell_length_a 5.1193
_cell_length_b 5.1193
_cell_length_c 3.6315
_cell_angle_alpha 90.00
_cell_angle_beta 90.00
_cell_angle_gamma 120.00
_symmetry_space_group_name_H-M 'P 3 m 1'
_symmetry_Int_Tables_number 156
_symmetry_space_group_name_Hall 'P 3 -2"'
loop_
_atom_site_label
_atom_site_type_symbol
_atom_site_fract_x
_atom_site_fract_y
_atom_site_fract_z
_atom_site_occupancy
Tb1 Tb 0.0000 0.0000 0.0000 1
Th1 Th 0.6667 0.3333 0.5593 1
Al1 Al 0.3333 0.6667 0.2155 1
```

Calculated formation energy   -0.08 eV per formula unit
Excess energy over the best structure of this formula in the dataset   0.131 eV/atom

Entry 12:
CdPbSe2 | PBE | optimized geometry

Cell and atoms, written as CIF:
```
data_CdPbSe2
_chemical_formula_sum 'Cd4 Pb4 Se8'
_cell_length_a 6.614
_cell_length_b 6.614
_cell_length_c 12.768
_cell_angle_alpha 90.00
_cell_angle_beta 90.00
_cell_angle_gamma 90.00
_symmetry_space_group_name_H-M 'I -4 2 d'
_symmetry_Int_Tables_number 122
_symmetry_space_group_name_Hall 'I -4 2bw'
loop_
_atom_site_label
_atom_site_type_symbol
_atom_site_fract_x
_atom_site_fract_y
_atom_site_fract_z
_atom_site_occupancy
Cd1 Cd 0.000 0.000 0.000 1
Pb1 Pb 0.000 0.000 0.500 1
Se1 Se 0.214 0.250 0.125 1
```

DFT total energy   -3.381 eV per atom